[1]
Ag4GeS5 | Alexandria | GGA-PBE | relaxed; crystal system = tetragonal; space-group type = I4, No. 79; size of the total moment = 0.00 μB per formula unit; uncorrected formation energy = -0.043 eV/atom
1.0
-4.266 4.266 2.631
4.266 -4.266 2.631
4.266 4.266 -2.631
Ag Ge S
4 1 5
direct
0.111 0.288 0.399
0.288 0.889 0.177
0.712 0.111 0.823
0.889 0.712 0.601
0.545 0.545 0.000
0.225 0.561 0.790
0.435 0.225 0.663
0.561 0.771 0.337
0.771 0.435 0.210
0.984 0.984 0.000

[2]
SrH6Pd5 | Alexandria | GGA-PBE | relaxed; crystal system = monoclinic; space-group type = C2/m, No. 12; size of the total moment = 0.00 μB per formula unit
1.0
2.890 -4.423 0.000
2.890 4.423 0.000
-2.342 0.000 4.924
Sr H Pd
1 6 5
direct
0.000 0.000 0.000
0.213 0.213 0.639
0.216 0.562 0.261
0.438 0.784 0.739
0.562 0.216 0.261
0.784 0.438 0.739
0.787 0.787 0.361
0.165 0.835 0.500
0.338 0.662 0.000
0.500 0.500 0.500
0.662 0.338 0.000
0.835 0.165 0.500

[3]
Pm4PrHo7 | Alexandria | GGA-PBE | relaxed; relative energy among the computed polymorphs = 0 meV per atom; crystal system = triclinic; space-group type = P-1, No. 2; size of the total moment = 0.00 μB per formula unit; DFT formation energy = 0.08 eV per atom
1.0
6.582 0.000 0.000
1.021 6.789 0.000
2.044 0.535 8.827
Pm Pr Ho
4 1 7
direct
0.139 0.304 0.287
0.334 0.889 0.689
0.666 0.111 0.311
0.861 0.696 0.713
0.500 0.500 0.000
0.015 0.249 0.950
0.182 0.798 0.357
0.311 0.397 0.615
0.500 0.000 0.000
0.689 0.603 0.385
0.818 0.202 0.643
0.985 0.751 0.050

[4]
BaSi2Sb | Alexandria | GGA-PBE | relaxed; crystal system = tetragonal; space-group type = I4/mmm, No. 139; size of the total moment = 0.00 μB per formula unit; uncorrected formation energy = 0.254 eV/atom
1.0
4.844 0.000 0.000
0.000 4.844 0.000
0.000 0.000 8.879
Ba Si Sb
2 4 2
direct
0.000 0.000 0.000
0.500 0.500 0.500
0.000 0.500 0.250
0.000 0.500 0.750
0.500 0.000 0.250
0.500 0.000 0.750
0.000 0.000 0.500
0.500 0.500 0.000

[5]
FeBr3 | Alexandria | GGA-PBE | relaxed; crystal system = trigonal; space-group type = R-3m, No. 166; size of the total moment = 4.01 μB per formula unit; uncorrected formation energy = 0.545 eV/atom
1.0
8.529 0.000 0.000
-4.265 7.387 0.000
0.000 0.000 5.125
Fe Br
3 9
direct
0.000 0.000 0.000
0.333 0.667 0.667
0.667 0.333 0.333
0.000 0.500 0.000
0.167 0.333 0.333
0.167 0.833 0.333
0.333 0.167 0.667
0.500 0.000 0.000
0.500 0.500 0.000
0.667 0.833 0.333
0.833 0.167 0.667
0.833 0.667 0.667

[6]
LiAsIr2 | Alexandria | GGA-PBE | relaxed; crystal system = monoclinic; space-group type = P2/m, No. 10; size of the total moment = 0.00 μB per formula unit; DFT formation energy = -0.04 eV per atom
1.0
2.782 0.000 0.000
0.000 4.349 0.000
-0.015 0.000 4.806
Li As Ir
1 1 2
direct
0.000 0.000 0.000
0.500 0.000 0.500
0.273 0.500 0.756
0.727 0.500 0.244

VASP energy (eV/atom)
-3.709, -4.202, -4.568, -3.969, -2.826, -6.112